(1)
## UPdPt2 (PBE-GGA)

Data for a relaxed UPdPt2 crystal.

Cell: 3.8874 3.8874 18.6484 Å, 90.00 90.00 120.00°
With the nearest neighbours (Å) after each atom.
Space group R3m (No. 160, hexagonal axes)
Inequivalent atoms, fractional coordinates:
U  0.0000  0.0000  0.0000 (multiplicity 3)  6 Pt 2.74-2.76
Pd  0.0000  0.0000  0.8335 (multiplicity 3)  6 Pt 2.71-2.72
Pt  0.0000  0.0000  0.4191 (multiplicity 3)  3 Pd 2.71, 3 U 2.76
Pt  0.0000  0.0000  0.5827 (multiplicity 3)  3 Pd 2.72, 3 U 2.74

Summary:
Energy ... -90.65 eV for the cell shown
Formation energy ... -0.413 eV per atom



(2)
## U2Ni2Sn (PBE-GGA)

Data for a relaxed U2Ni2Sn crystal.

Cell: 6.7553 6.7553 4.1010 Å, 90.00 90.00 90.00°
With the nearest neighbours (Å) after each atom.
Space group P4/mbm (No. 127)
Inequivalent atoms, fractional coordinates:
U  0.1397  0.3603  0.0000 (multiplicity 4)  1 U 2.67, 6 Ni 2.79-2.94
Ni  0.1395  0.6395  0.5000 (multiplicity 4)  2 Sn 2.61, 1 Ni 2.67, 4 U 2.79
Sn  0.0000  0.0000  0.5000 (multiplicity 2)  4 Ni 2.61

Summary:
Energy ... -78.20 eV for the cell shown
Formation energy ... -0.191 eV per atom



(3)
## Nd3Dy (PBE-GGA)

Data for a relaxed Nd3Dy crystal.

Cell: 5.1545 5.1545 5.1545 Å, 90.00 90.00 90.00°
With the nearest neighbours (Å) after each atom.
Space group Pm-3m (No. 221)
Inequivalent atoms, fractional coordinates:
Nd  0.0000  0.0000  0.5000 (multiplicity 3)  4 Dy 3.64, 8 Nd 3.64
Dy  0.5000  0.5000  0.5000 (multiplicity 1)  12 Nd 3.64

Summary:
Energy ... -18.84 eV for the cell shown
Formation energy ... 0.015 eV per atom



(4)
## Ac5Pm2SmY (PBE-GGA)

Data for a relaxed Ac5Pm2SmY crystal.

Cell: 5.8439 22.6096 11.1271 Å, 90.00 90.00 90.00°
With the nearest neighbours (Å) after each atom.
Space group Cmcm (No. 63)
Inequivalent atoms, fractional coordinates:
Ac  0.0000  0.0000  0.0000 (multiplicity 4)  2 Y 3.56, 4 Pm 3.88
Ac  0.0000  0.1299  0.2500 (multiplicity 4)  1 Sm 3.91, 4 Pm 4.01, 6 Ac 4.02-4.18
Ac  0.0000  0.2184  0.5636 (multiplicity 8)  1 Y 3.41, 2 Ac 3.55, 2 Sm 3.62
Ac  0.0000  0.4977  0.2500 (multiplicity 4)  2 Y 3.64, 4 Pm 3.77-3.79, 4 Ac 4.03
Pm  0.0000  0.3871  0.5056 (multiplicity 8)  1 Sm 3.42, 2 Ac 3.77-3.79
Sm  0.0000  0.3030  0.2500 (multiplicity 4)  2 Pm 3.42, 4 Ac 3.62, 2 Y 3.68
Y  0.0000  0.0984  0.7500 (multiplicity 4)  6 Ac 3.41-3.64, 2 Sm 3.68

Summary:
Energy ... -159.96 eV for the cell shown
Formation energy ... 0.137 eV per atom



(5)
## Ho11Zn9Rh4 (PBE-GGA)

Data for a relaxed Ho11Zn9Rh4 crystal.

Cell: 13.7318 20.4795 3.6527 Å, 90.00 90.00 90.00°
With the nearest neighbours (Å) after each atom.
Space group Cmmm (No. 65)
Inequivalent atoms, fractional coordinates:
Ho  0.0000  0.0000  0.0000 (multiplicity 2)  8 Zn 3.03
Ho  0.0000  0.1703  0.0000 (multiplicity 4)  8 Zn 3.02-3.23, 2 Ho 3.38
Ho  0.0000  0.3647  0.0000 (multiplicity 4)  4 Rh 2.84, 4 Zn 3.13
Ho  0.2183  0.5000  0.0000 (multiplicity 4)  4 Rh 2.83, 4 Zn 3.15
Ho  0.2460  0.1687  0.0000 (multiplicity 8)  2 Rh 2.82, 4 Zn 3.04-3.05
Zn  0.0000  0.5000  0.5000 (multiplicity 2)  4 Rh 2.77
Zn  0.1071  0.2636  0.5000 (multiplicity 8)  1 Zn 2.94, 1 Rh 2.98, 8 Ho 3.02-3.28
Zn  0.1343  0.0766  0.5000 (multiplicity 8)  8 Ho 3.03-3.23, 1 Rh 3.04, 1 Zn 3.14
Rh  0.1455  0.4066  0.5000 (multiplicity 8)  3 Zn 2.77-3.04, 6 Ho 2.82-2.84

Summary:
Energy ... -208.56 eV for the cell shown
Formation energy ... -0.544 eV per atom



(6)
## MgSc2TiH (PBE-GGA)

Data for a relaxed MgSc2TiH crystal.

Cell: 4.4806 4.4806 4.3375 Å, 90.00 90.00 90.00°
With the nearest neighbours (Å) after each atom.
Space group P4/mmm (No. 123)
Inequivalent atoms, fractional coordinates:
Mg  0.0000  0.0000  0.0000 (multiplicity 1)  2 H 2.17
Sc  0.0000  0.5000  0.5000 (multiplicity 2)  2 H 2.24
Ti  0.5000  0.5000  0.0000 (multiplicity 1)  8 Sc 3.12, 4 Mg 3.17
H  0.0000  0.0000  0.5000 (multiplicity 1)  2 Mg 2.17, 4 Sc 2.24

Summary:
Energy ... -25.66 eV for the cell shown



Question: energy of number 5 (Ho11Zn9Rh4)?
Answer: -208.56 eV for the cell shown